Record 1
The following is a DFT calculation (PBE) of a relaxed Rb2ScHgF6 crystal.

Uncorrected formation energy in meV/atom: -2858
Calculated total energy in eV/atom: -4.837

Unit cell a=6.5296 b=6.5296 c=6.5298 alpha=60.00 beta=60.00 gamma=90.00
Fractional coordinates of all 10 atoms:
Sc1 0.5000 0.5000 0.0000
Hg1 0.0000 0.0000 0.0000
Rb1 0.7500 0.2500 0.5000
Rb2 0.2500 0.7500 0.5000
F1 0.2798 0.2798 0.4403
F2 0.7202 0.7202 0.5597
F3 0.2798 0.2798 0.0000
F4 0.7202 0.7202 0.0000
F5 0.7202 0.2798 0.0000
F6 0.2798 0.7202 0.0000

Record 2
The following is a DFT calculation (PBE) of a relaxed Hg6H2Pb crystal.

Calculated total energy in eV/atom: -1.163

Unit cell a=3.2484 b=19.0826 c=14.8228 alpha=13.25 beta=75.44 gamma=75.63
Fractional coordinates of all 9 atoms:
Hg1 0.7282 0.5067 0.1629
Hg2 0.0932 0.1028 0.4951
Hg3 0.2718 0.4933 0.8371
Hg4 0.6697 0.2654 0.8748
Hg5 0.9068 0.8972 0.5049
Hg6 0.3303 0.7346 0.1252
H1 0.3915 0.7074 0.4550
H2 0.6085 0.2926 0.5450
Pb1 0.0000 0.0000 0.0000

Record 3
The following is a DFT calculation (PBE) of a relaxed Zr5Ga3 crystal.

Formation energy from the elements in meV per atom: -506.5
Calculated total energy in eV/atom: -6.984
E above lowest polymorph in meV/atom: 7

Unit cell a=8.1398 b=8.1398 c=5.7316 alpha=90.00 beta=90.00 gamma=120.00
Fractional coordinates of all 16 atoms:
Zr1 0.6667 0.3333 0.0000
Zr2 0.3333 0.6667 0.0000
Zr3 0.3333 0.6667 0.5000
Zr4 0.6667 0.3333 0.5000
Zr5 0.7586 0.7586 0.7500
Zr6 0.2414 0.0000 0.7500
Zr7 0.0000 0.2414 0.7500
Zr8 0.2414 0.2414 0.2500
Zr9 0.7586 0.0000 0.2500
Zr10 0.0000 0.7586 0.2500
Ga1 0.3926 0.3926 0.7500
Ga2 0.6074 0.0000 0.7500
Ga3 0.0000 0.6074 0.7500
Ga4 0.6074 0.6074 0.2500
Ga5 0.3926 0.0000 0.2500
Ga6 0.0000 0.3926 0.2500